A plane-wave DFT calculation with PBE was carried out for an optimized crystal structure of Pm5PdRh2.

As for the formation enthalpy at 0 K: -4.825 eV/f.u. The value obtained for the density of states at the Fermi level is 8.7 states/eV/f.u. The magnetic moment comes out at 0.0 Bohr magnetons per cell. As for the crystal system: tetragonal. The value obtained for the energy is -6.06 eV per atom.

abc: 7.7511 7.7511 8.8028
angles: 116.12 116.12 90.00
With the nearest neighbours (Å) after each atom.
Atoms (fractional coordinates):
1 Rh 0.3650 0.8650 0.0000  8 Pm 2.91-3.03, 1 Rh 2.96
2 Rh 0.8650 0.6350 0.0000  8 Pm 2.91-3.03, 1 Rh 2.96
3 Pm 0.5000 0.5000 0.0000  4 Rh 3.02
4 Pm 0.0260 0.5260 0.7211  3 Rh 2.91-3.03
5 Pm 0.9740 0.4740 0.2789  3 Rh 2.91-3.03
6 Pm 0.0000 0.0000 0.0000  4 Rh 3.02
7 Pm 0.3049 0.8049 0.2789  3 Rh 2.91-3.03
8 Rh 0.1350 0.3650 0.0000  8 Pm 2.91-3.03, 1 Rh 2.96
9 Rh 0.6350 0.1350 0.0000  8 Pm 2.91-3.03, 1 Rh 2.96
10 Pm 0.1951 0.0260 0.7211  3 Rh 2.91-3.03
11 Pm 0.8049 0.9740 0.2789  3 Rh 2.91-3.03
12 Pd 0.2500 0.2500 0.5000  10 Pm 3.27-3.44
13 Pm 0.5260 0.6951 0.7211  3 Rh 2.91-3.03
14 Pd 0.7500 0.7500 0.5000  10 Pm 3.27-3.44
15 Pm 0.4740 0.3049 0.2789  3 Rh 2.91-3.03
16 Pm 0.6951 0.1951 0.7211  3 Rh 2.91-3.03